Below is Ta2BeW after structural relaxation, with properties calculated at the GGA-PBE level.

Properties
As for the total magnetization: 0.0 μB/cell. The formation energy is -0.023 eV per atom.

a = 3.2339 Å, b = 3.2339 Å, c = 5.9501 Å
α = 90.00°, β = 90.00°, γ = 90.00°
Last column: nearest neighbours and their distance in Å.
Atoms (fractional coordinates):
Ta (0.0000, 0.0000, 0.2367)  4 Be 2.69, 4 W 2.77, 1 Ta 2.82
Ta (0.0000, 0.0000, 0.7633)  4 Be 2.69, 4 W 2.77, 1 Ta 2.82
Be (0.5000, 0.5000, 0.0000)  8 Ta 2.69, 2 W 2.98
W (0.5000, 0.5000, 0.5000)  8 Ta 2.77, 2 Be 2.98

***

Below is LiLuTiTc after structural relaxation, with properties calculated at the GGA-PBE level.

Properties
As for the total magnetization: 0.0 μB/cell. The formation energy is -0.081 eV per atom.

a = 4.6062 Å, b = 4.6062 Å, c = 4.6062 Å
α = 60.00°, β = 60.00°, γ = 60.00°
Last column: nearest neighbours and their distance in Å.
Atoms (fractional coordinates):
Li (0.0000, 0.0000, 0.0000)  4 Ti 2.82, 4 Lu 2.82
Lu (0.2500, 0.2500, 0.2500)  4 Tc 2.82, 4 Li 2.82
Ti (0.7500, 0.7500, 0.7500)  4 Tc 2.82, 4 Li 2.82
Tc (0.5000, 0.5000, 0.5000)  4 Ti 2.82, 4 Lu 2.82

***

Below is PaSi4 after structural relaxation, with properties calculated at the GGA-PBE level.

Properties
As for the total magnetization: 1.3 μB/cell. For the uncorrected formation energy, the calculation gives 1.570 eV per atom.

a = 5.3169 Å, b = 5.3169 Å, c = 5.3169 Å
α = 90.00°, β = 90.00°, γ = 90.00°
Last column: nearest neighbours and their distance in Å.
Atoms (fractional coordinates):
Pa (0.0000, 0.0000, 0.0000)  6 Si 2.66
Si (0.0000, 0.0000, 0.5000)  2 Pa 2.66
Si (0.0000, 0.5000, 0.0000)  2 Pa 2.66
Si (0.5000, 0.0000, 0.0000)  2 Pa 2.66
Si (0.5000, 0.5000, 0.5000)  12 Si 3.76

***

Below is DyTmSe3 after structural relaxation, with properties calculated at the GGA-PBE level.

Properties
As for the total magnetization: 0.0 μB/cell. For the uncorrected formation energy, the calculation gives -1.845 eV per atom. Its offset from the most stable computed form is 0 meV per atom.

a = 7.6608 Å, b = 7.6608 Å, c = 7.6608 Å
α = 55.65°, β = 55.65°, γ = 55.65°
Last column: nearest neighbours and their distance in Å.
Atoms (fractional coordinates):
Dy (0.1516, 0.1516, 0.1516)  6 Se 2.84-2.91
Dy (0.8484, 0.8484, 0.8484)  6 Se 2.84-2.91
Tm (0.3466, 0.3466, 0.3466)  6 Se 2.81-2.87
Tm (0.6534, 0.6534, 0.6534)  6 Se 2.81-2.87
Se (0.0570, 0.7456, 0.4456)  2 Tm 2.81-2.87, 2 Dy 2.84-2.91
Se (0.2544, 0.5544, 0.9430)  2 Tm 2.81-2.87, 2 Dy 2.84-2.91
Se (0.4456, 0.0570, 0.7456)  2 Tm 2.81-2.87, 2 Dy 2.84-2.91
Se (0.5544, 0.9430, 0.2544)  2 Tm 2.81-2.87, 2 Dy 2.84-2.91
Se (0.7456, 0.4456, 0.0570)  2 Tm 2.81-2.87, 2 Dy 2.84-2.91
Se (0.9430, 0.2544, 0.5544)  2 Tm 2.81-2.87, 2 Dy 2.84-2.91